Here is an optimized crystal structure of Er3ZrRu4 from the Alexandria database. Energies are from PBE. Values from VASP.

Structure (Quantum ESPRESSO input):
```
&SYSTEM
  ibrav = 0, nat = 8, ntyp = 3
/
ATOMIC_SPECIES
Er 167.26 Er.upf
Zr 91.22 Zr.upf
Ru 101.07 Ru.upf
CELL_PARAMETERS angstrom
3.3358 0.0000 0.0000
0.0000 3.3358 0.0000
0.0000 0.0000 13.4347
ATOMIC_POSITIONS angstrom
Er 0.0000 0.0000 0.0000
Er 0.0000 0.0000 3.3688
Er 0.0000 0.0000 10.0659
Zr 0.0000 0.0000 6.7174
Ru 1.6679 1.6679 1.7084
Ru 1.6679 1.6679 5.1551
Ru 1.6679 1.6679 8.2796
Ru 1.6679 1.6679 11.7263
```

Values from the calculation:
- E_tot (eV/atom) = -7.892

***

Here is an optimized crystal structure of Mn2BeV4 from the Alexandria database. Energies are from PBE. Values from VASP.

Structure (Quantum ESPRESSO input):
```
&SYSTEM
  ibrav = 0, nat = 7, ntyp = 3
/
ATOMIC_SPECIES
Mn 54.94 Mn.upf
Be 9.01 Be.upf
V 50.94 V.upf
CELL_PARAMETERS angstrom
-2.0272 2.0272 5.6946
2.0272 -2.0272 5.6946
2.0272 2.0272 -5.6946
ATOMIC_POSITIONS angstrom
Mn 0.0000 0.0000 1.4260
Mn 0.0000 0.0000 9.9632
Be 0.0000 0.0000 5.6946
V 2.0272 0.0000 0.0000
V 0.0000 0.0000 3.4943
V 0.0000 2.0272 0.0000
V 0.0000 0.0000 7.8949
```

Values from the calculation:
- E_tot (eV/atom) = -7.699